This record from Alexandria describes a relaxed structure of CsINF2. The functional is PBE.

Cell: 5.090 5.090 4.045 Å, 90.00 90.00 90.00°
Atoms (fractional coordinates):
Cs: 0.000 0.000 0.000
I: 0.500 0.500 0.500
N: 0.500 0.500 0.000
F: 0.000 0.500 0.500
F: 0.500 0.000 0.500

Calculated values
The size of the total moment is 0.000 μB/f.u. The calculation puts the raw formation energy at -676 meV per atom. Its final energy is -3.5706 eV/atom.


This record from Alexandria describes a relaxed structure of SrLiAcTe3. The functional is PBE.

Cell: 9.680 4.620 9.939 Å, 90.00 100.21 90.00°
Atoms (fractional coordinates):
Sr: 0.170 0.250 0.228
Sr: 0.830 0.750 0.772
Li: 0.082 0.250 0.582
Li: 0.918 0.750 0.418
Ac: 0.336 0.750 0.824
Ac: 0.664 0.250 0.176
Te: 0.100 0.250 0.867
Te: 0.206 0.750 0.495
Te: 0.416 0.750 0.169
Te: 0.584 0.250 0.831
Te: 0.794 0.250 0.505
Te: 0.900 0.750 0.133

Calculated values
The size of the total moment is 0.000 μB/f.u. The calculation puts the raw formation energy at -1465 meV per atom. Its final energy is -4.3197 eV/atom.